HfAlCuPd: optimized geometry, PBE.

Cell: 4.260 4.260 8.261 Å, 90.00 90.00 120.00°
Fractional coordinates of all 8 atoms:
Hf1 0.667 0.333 0.754
Hf2 0.333 0.667 0.246
Al1 0.000 0.000 0.000
Al2 0.000 0.000 0.500
Pd1 0.667 0.333 0.408
Pd2 0.333 0.667 0.592
Cu1 0.333 0.667 0.917
Cu2 0.667 0.333 0.083

Computed properties:
Crystal system: trigonal
Magnetization (μB/f.u.): 0.002

AcLaZr: optimized geometry, PBE.

Cell: 5.406 5.406 5.406 Å, 60.00 60.00 60.00°
Fractional coordinates of all 3 atoms:
Zr1 0.750 0.750 0.750
Ac1 0.250 0.250 0.250
La1 0.000 0.000 0.000

Computed properties:
ΔE_f (kJ/mol of formula units): 263
Crystal system: cubic
Magnetization (μB/f.u.): 2.131

Cs2AgSnBr6: optimized geometry, PBE.

Cell: 7.935 7.937 11.243 Å, 90.01 90.00 90.00°
Fractional coordinates of all 20 atoms:
Cs1 0.450 0.050 0.250
Cs2 0.950 0.550 0.250
Cs3 0.450 0.050 0.750
Cs4 0.950 0.550 0.750
Br1 0.451 0.550 0.250
Br2 0.204 0.297 0.001
Br3 0.194 0.305 0.499
Br4 0.198 0.797 0.000
Br5 0.706 0.794 0.501
Br6 0.949 0.050 0.250
Br7 0.449 0.549 0.750
Br8 0.697 0.803 0.999
Br9 0.703 0.304 0.000
Br10 0.951 0.050 0.750
Br11 0.205 0.806 0.500
Br12 0.695 0.294 0.500
Ag1 0.450 0.550 0.000
Ag2 0.950 0.050 0.500
Sn1 0.950 0.050 0.000
Sn2 0.450 0.550 0.500

Computed properties:
Crystal system: triclinic

HoMgTe: optimized geometry, PBE.

Cell: 5.081 5.081 5.081 Å, 60.00 60.00 60.00°
Last column: magnetic moment on the atom in μB.
Fractional coordinates of all 3 atoms:
Ho1 0.250 0.250 0.250  0.23
Te1 0.000 0.000 0.000  0.06
Mg1 0.750 0.750 0.750  0.04

Computed properties:
Crystal system: cubic
Magnetization (μB/f.u.): 0.651

NaPrCoSe3: optimized geometry, PBE.

Cell: 4.123 6.971 11.279 Å, 90.00 90.00 72.80°
Last column: magnetic moment on the atom in μB.
Fractional coordinates of all 12 atoms:
Pr1 0.000 0.000 0.000  0.02
Pr2 0.000 0.000 0.500  0.02
Se1 0.922 0.156 0.250  0.16
Se2 0.359 0.282 0.915  0.13
Se3 0.359 0.282 0.585  0.13
Se4 0.641 0.718 0.415  0.13
Se5 0.078 0.844 0.750  0.16
Se6 0.641 0.718 0.085  0.13
Co1 0.472 0.056 0.750  2.14
Co2 0.528 0.944 0.250  2.14
Na1 0.245 0.509 0.250  0.00
Na2 0.755 0.491 0.750  0.00

Computed properties:
Crystal system: orthorhombic
Magnetization (μB/f.u.): 2.990

K2Hg3Ge2Se8: optimized geometry, PBE.

Cell: 6.797 6.797 10.261 Å, 93.26 93.26 82.85°
Fractional coordinates of all 15 atoms:
Hg1 0.366 0.634 0.500
Hg2 0.518 0.482 0.000
Hg3 0.846 0.154 0.500
K1 0.934 0.630 0.768
K2 0.370 0.066 0.232
Se1 0.771 0.160 0.747
Se2 0.840 0.229 0.253
Se3 0.241 0.606 0.256
Se4 0.266 0.233 0.538
Se5 0.767 0.734 0.462
Se6 0.394 0.759 0.744
Se7 0.272 0.247 0.924
Se8 0.753 0.728 0.076
Ge1 0.896 0.571 0.271
Ge2 0.429 0.104 0.729

Computed properties:
Crystal system: monoclinic

NaSnAuS3: optimized geometry, PBE.

Cell: 7.917 3.729 9.363 Å, 90.00 97.35 90.00°
Fractional coordinates of all 12 atoms:
S1 0.125 0.750 0.391
S2 0.875 0.250 0.609
S3 0.578 0.750 0.361
S4 0.685 0.750 0.912
S5 0.315 0.250 0.088
S6 0.422 0.250 0.639
Na1 0.845 0.250 0.293
Na2 0.155 0.750 0.707
Sn1 0.339 0.250 0.360
Sn2 0.661 0.750 0.640
Au1 0.883 0.250 0.961
Au2 0.117 0.750 0.039

Computed properties:
Crystal system: monoclinic

KNdZnO3: optimized geometry, PBE.

Cell: 6.136 6.136 9.519 Å, 90.00 90.00 34.33°
Fractional coordinates of all 12 atoms:
Nd1 0.000 0.000 0.000
Nd2 0.000 0.000 0.500
Zn1 0.451 0.451 0.250
Zn2 0.549 0.549 0.750
O1 0.381 0.381 0.069
O2 0.619 0.619 0.931
O3 0.953 0.953 0.750
O4 0.047 0.047 0.250
O5 0.381 0.381 0.431
O6 0.619 0.619 0.569
K1 0.271 0.271 0.750
K2 0.729 0.729 0.250

Computed properties:
Crystal system: orthorhombic
Magnetization (μB/f.u.): 0.001

no.,E_tot (eV/atom)
1,-6.211
2,-4.950
3,-2.970
4,-3.301
5,-4.994
6,-3.191
7,-3.967
8,-5.785